The following is a meta-GGA SCAN calculation of a PBEsol-optimized structure of TePbW, from Alexandria.

Values from the calculation:
The calculation puts the excess energy over the best structure of this formula in the dataset at 0 meV per atom. The value obtained for the density of states at the Fermi level is 1.095 states/eV per cell. The total energy comes out at -60.4207 eV/atom. The raw formation energy comes out at 0.486 eV per atom.

Cell: 3.2917 3.2917 7.9760 Å, 90.00 90.00 120.00°
Sites, in units of the cell vectors:
Te 0.0000 0.0000 0.0000
Pb 0.6667 0.3333 0.4661
W 0.3333 0.6667 0.7650